Entry A
{
  "formula": "AcNdZn4",
  "functional": "PBE",
  "state": "optimized geometry",
  "cell": [[5.711, 0.000, 0.000], [2.855, 4.946, 0.000], [2.855, 1.649, 4.663]],
  "species": ["Ac", "Nd", "Zn", "Zn", "Zn", "Zn"],
  "frac_coords": [[0.250, 0.250, 0.250], [0.000, 0.000, 0.000], [0.627, 0.627, 0.120], [0.627, 0.120, 0.627], [0.627, 0.627, 0.627], [0.120, 0.627, 0.627]],
  "total_magnetization_mub_per_fu": 0.0,
  "vol_a3_per_fu": 131.7,
  "spacegroup": "No. 216"
}

Entry B
{
  "formula": "AcNdZn4",
  "functional": "PBE",
  "state": "optimized geometry",
  "cell": [[-3.802, -1.713, 1.193], [-1.156, -0.338, -4.167], [5.596, -6.092, 1.199]],
  "species": ["Ac", "Nd", "Zn", "Zn", "Zn", "Zn"],
  "frac_coords": [[0.000, 0.000, 0.000], [0.250, 0.750, 0.500], [0.671, 0.171, 0.341], [0.587, 0.587, 0.175], [0.829, 0.329, 0.659], [0.413, 0.413, 0.825]],
  "total_magnetization_mub_per_fu": 0.0,
  "vol_a3_per_fu": 146.3,
  "spacegroup": "No. 119"
}

It turns out entry B is the most stable, with the second structure 10 meV/atom higher.